A relaxed BeSnSeBr2 crystal. Source: Alexandria via LeMat-Bulk, functional PBE.

Values from the calculation:
magnetic moment: 0.48 μB/f.u.
calculated total energy: -2.47 eV/atom
ΔE_f (raw): 42.59 kJ per mole of atoms

a = 5.5277 Å, b = 5.5277 Å, c = 5.3683 Å
α = 90.00°, β = 90.00°, γ = 90.00°
Each line ends with the local moment (μB).
Positions (direct):
Br1 0.5000 0.0000 0.0000  0.01
Br2 0.0000 0.5000 0.0000  0.01
Be1 0.5000 0.5000 0.5000  0.16
Sn1 0.0000 0.0000 0.0000  -0.02
Se1 0.0000 0.0000 0.5000  0.06